Below is a relaxed VCl3O crystal, with properties calculated at the PBE+U level.

Structure (CIF):
```
data_VCl3O
_chemical_formula_sum 'V1 Cl3 O1'
_cell_length_a 4.509
_cell_length_b 4.509
_cell_length_c 4.509
_cell_angle_alpha 90.00
_cell_angle_beta 90.00
_cell_angle_gamma 90.00
_space_group_name_H-M_alt 'P 1'
_space_group_IT_number 1
loop_
_space_group_symop_operation_xyz
'x,y,z'
loop_
_atom_site_label
_atom_site_type_symbol
_atom_site_fract_x
_atom_site_fract_y
_atom_site_fract_z
Cl1 Cl 0.000 0.000 0.500
Cl2 Cl 0.000 0.500 0.000
Cl3 Cl 0.500 0.000 0.000
V1 V 0.500 0.500 0.500
O1 O 0.000 0.000 0.000
```

Computed properties:
The calculation puts the density of states at the Fermi level at 5.91 states/eV/cell. For the size of the total moment, the calculation gives 2.986 μB/cell. The space group is Pm-3m (221). The value obtained for the electronic total energy is -3.083 eV per atom.